# 1
The following is a PBE calculation of an optimized crystal structure of Sm4CI2Br2Cl, from the Open Quantum Materials Database.

Geometry as POSCAR:
```
Sm4CI2Br2Cl
1.0
-6.833 4.430 4.893
-8.296 0.793 4.559
4.922 -2.538 6.073
Sm I C Cl Br
4 2 1 1 2
direct
0.636 0.636 0.068
0.003 0.003 0.792
0.364 0.364 0.932
0.997 0.997 0.208
0.165 0.165 0.364
0.835 0.835 0.636
0.500 0.500 0.000
0.500 0.500 0.500
0.830 0.830 0.174
0.170 0.170 0.826
```

Results
Space-group type: No. 12
Total moment (μB per cell): 0.0
ΔE to the lowest computed polymorph (meV per atom): 12



# 2
The following is a PBE calculation of an optimized crystal structure of Lu2CuTc, from the Open Quantum Materials Database.

Geometry as POSCAR:
```
Lu2CuTc
1.0
-3.623 -1.391 2.686
-0.543 1.782 4.337
-3.550 2.977 0.901
Cu Lu Tc
1 2 1
direct
0.250 0.250 0.250
0.750 0.750 0.750
0.000 0.000 0.000
0.500 0.500 0.500
```

Results
Space-group type: No. 216
Total moment (μB per cell): 0.0
Calculated formation energy (eV/atom): 0.212



# 3
The following is a PBE calculation of an optimized crystal structure of Ho3Sn4Ge4, from the Open Quantum Materials Database.

Geometry as POSCAR:
```
Ho3Sn4Ge4
1.0
-2.035 4.036 8.225
2.035 -4.036 8.225
2.035 4.036 -8.225
Ge Ho Sn
4 3 4
direct
0.062 0.340 0.722
0.938 0.660 0.278
0.617 0.340 0.278
0.383 0.660 0.722
0.373 0.873 0.500
0.627 0.127 0.500
0.000 0.000 0.000
0.209 0.209 0.000
0.694 0.500 0.194
0.306 0.500 0.806
0.791 0.791 0.000
```

Results
Space-group type: No. 71
Total moment (μB per cell): 0.0



# 4
The following is a PBE calculation of an optimized crystal structure of GaNi4PC2, from the Open Quantum Materials Database.

Geometry as POSCAR:
```
GaNi4PC2
1.0
-0.288 -2.089 2.082
1.822 -0.437 -2.296
8.607 4.722 5.929
C Ni Ga P
2 4 1 1
direct
0.333 0.667 0.255
0.333 0.667 0.745
0.667 0.333 0.170
0.000 0.000 0.347
0.667 0.333 0.830
0.000 0.000 0.653
0.000 0.000 0.000
0.667 0.333 0.500
```

Results
Space-group type: No. 187
Total moment (μB per cell): 0.0



# 5
The following is a PBE calculation of an optimized crystal structure of Cu2Ag3, from the Open Quantum Materials Database.

Geometry as POSCAR:
```
Cu2Ag3
1.0
-3.435 -2.985 -1.635
-0.900 -0.198 4.767
-2.308 6.571 -2.581
Ag Cu
6 4
direct
0.121 0.219 0.715
0.000 0.000 0.000
0.500 0.000 0.500
0.198 0.399 0.393
0.802 0.601 0.607
0.879 0.781 0.285
0.305 0.607 0.093
0.695 0.393 0.907
0.416 0.810 0.819
0.584 0.190 0.181
```

Results
Space-group type: No. 2
Calculated formation energy (eV/atom): 0.091
ΔE to the lowest computed polymorph (meV per atom): 59



# 6
The following is a PBE calculation of an optimized crystal structure of NaTbCd, from the Open Quantum Materials Database.

Geometry as POSCAR:
```
NaTbCd
1.0
1.115 -3.517 -3.472
2.487 -4.201 1.357
-2.402 -4.461 0.051
Tb Cd Na
1 1 1
direct
0.750 0.750 0.750
0.000 0.000 0.000
0.250 0.250 0.250
```

Results
Space-group type: No. 216
Total moment (μB per cell): 0.0



# 7
The following is a PBE calculation of an optimized crystal structure of BiSbPd, from the Open Quantum Materials Database.

Geometry as POSCAR:
```
BiSbPd
1.0
-3.889 -4.857 2.413
4.977 -2.016 3.963
-2.155 4.109 4.797
Bi Pd Sb
4 4 4
direct
0.631 0.631 0.631
0.131 0.869 0.369
0.869 0.369 0.131
0.369 0.131 0.869
0.490 0.510 0.010
0.010 0.490 0.510
0.510 0.010 0.490
0.990 0.990 0.990
0.872 0.128 0.628
0.128 0.628 0.872
0.372 0.372 0.372
0.628 0.872 0.128
```

Results
Space-group type: No. 198
ΔE to the lowest computed polymorph (meV per atom): 13



# 8
The following is a PBE calculation of an optimized crystal structure of Mg5Ta, from the Open Quantum Materials Database.

Geometry as POSCAR:
```
Mg5Ta
1.0
-4.011 2.123 -9.502
0.613 -10.053 3.074
-4.604 1.427 3.075
Mg Ta
20 4
direct
0.620 0.620 0.650
0.132 0.132 0.429
0.283 0.576 0.718
0.576 0.283 0.718
0.476 0.113 0.123
0.053 0.672 0.476
0.868 0.868 0.571
0.380 0.380 0.350
0.424 0.717 0.282
0.524 0.887 0.877
0.961 0.807 0.102
0.672 0.053 0.476
0.947 0.328 0.524
0.328 0.947 0.524
0.039 0.193 0.898
0.807 0.961 0.102
0.113 0.476 0.123
0.887 0.524 0.877
0.193 0.039 0.898
0.717 0.424 0.282
0.215 0.785 0.000
0.785 0.215 0.000
0.380 0.380 0.869
0.620 0.620 0.131
```

Results
Space-group type: No. 12
Total moment (μB per cell): 4.2



Number 1: final energy -4.9791 eV/atom. Number 2: final energy -5.5689 eV/atom. Number 3: final energy -4.6015 eV/atom. Number 4: final energy -5.8060 eV/atom. Number 5: final energy -3.0902 eV/atom. Number 6: final energy -2.0559 eV/atom. Number 7: final energy -4.7192 eV/atom. Number 8: final energy -2.8536 eV/atom.